Record 1
ZnWAu2: optimized geometry, PBE.

Cell and atoms, written as CIF:
```
data_ZnWAu2
_cell_length_a 2.820
_cell_length_b 4.884
_cell_length_c 4.888
_cell_angle_alpha 90.00
_cell_angle_beta 90.00
_cell_angle_gamma 90.00
_symmetry_space_group_name_H-M 'P m m m'
_symmetry_Int_Tables_number 47
_symmetry_space_group_name_Hall '-P 2 2'
loop_
_atom_site_label
_atom_site_fract_x
_atom_site_fract_y
_atom_site_fract_z
Zn1 0.000 0.000 0.000
W1 0.500 0.000 0.500
Au1 0.000 0.500 0.500
Au2 0.500 0.500 0.000
```

Results
**E_form**: 157 kJ/mol of formula units
**Crystal system**: orthorhombic
**M_tot**: 0.00 μB/f.u.


Record 2
Y3Ir: optimized geometry, PBE.

Cell and atoms, written as CIF:
```
data_Y3Ir
_cell_length_a 3.648
_cell_length_b 5.253
_cell_length_c 10.959
_cell_angle_alpha 90.00
_cell_angle_beta 90.00
_cell_angle_gamma 90.00
_symmetry_space_group_name_H-M 'I m m m'
_symmetry_Int_Tables_number 71
_symmetry_space_group_name_Hall '-I 2 2'
loop_
_atom_site_label
_atom_site_fract_x
_atom_site_fract_y
_atom_site_fract_z
Y1 0.000 0.000 0.000
Y2 0.000 0.500 0.197
Ir1 0.000 0.000 0.500
```

Results
**E_form**: -175 kJ/mol of formula units
**Crystal system**: orthorhombic
**M_tot**: 0.00 μB/f.u.


Record 3
Ac2Tb3Pm5: optimized geometry, PBE.

Cell and atoms, written as CIF:
```
data_Ac2Tb3Pm5
_cell_length_a 10.178
_cell_length_b 15.100
_cell_length_c 10.189
_cell_angle_alpha 90.00
_cell_angle_beta 109.15
_cell_angle_gamma 90.00
_symmetry_space_group_name_H-M 'C 1 2/c 1'
_symmetry_Int_Tables_number 15
_symmetry_space_group_name_Hall '-C 2yc'
loop_
_atom_site_label
_atom_site_fract_x
_atom_site_fract_y
_atom_site_fract_z
Ac1 0.250 0.109 0.001
Tb1 0.000 0.253 0.750
Tb2 0.156 0.378 0.593
Pm1 0.000 0.035 0.250
Pm2 0.000 0.251 0.250
Pm3 0.000 0.468 0.250
Pm4 0.155 0.125 0.596
```

Results
**E_form**: 186 kJ/mol of formula units
**Crystal system**: monoclinic
**M_tot**: 0.00 μB/f.u.


Record 4
La2Er2Pd15: optimized geometry, PBE.

Cell and atoms, written as CIF:
```
data_La2Er2Pd15
_cell_length_a 9.2670
_cell_length_b 9.2670
_cell_length_c 14.1985
_cell_angle_alpha 90.00
_cell_angle_beta 90.00
_cell_angle_gamma 120.00
_symmetry_space_group_name_H-M 'R -3 m'
_symmetry_Int_Tables_number 166
_symmetry_space_group_name_Hall '-R 3 2"'
loop_
_atom_site_label
_atom_site_fract_x
_atom_site_fract_y
_atom_site_fract_z
La1 0.0000 0.0000 0.1415
Er1 0.0000 0.0000 0.3923
Pd1 0.0000 0.3030 0.5000
Pd2 0.0000 0.5000 0.0000
Pd3 0.0040 0.5020 0.6525
```

Results
**E_form**: -1121 kJ/mol of formula units
**Crystal system**: trigonal
**M_tot**: 0.00 μB/f.u.